Here is crystalline MnNb2HRu at its relaxed geometry from Alexandria via LeMat-Bulk. Energies are from PBE.

Distance to the lowest polymorph of the same formula: 0.000 eV per atom
Crystal system: tetragonal

a = 4.3049 Å, b = 4.3049 Å, c = 3.4301 Å
α = 90.00°, β = 90.00°, γ = 90.00°
Sites, in units of the cell vectors:
1 Ru 0.5000 0.5000 0.5000
2 Nb 0.0000 0.5000 0.0000
3 H 0.0000 0.0000 0.0000
4 Mn 0.0000 0.0000 0.5000
5 Nb 0.5000 0.0000 0.0000